<A>
Entry from Alexandria: AcTb2Sm6 after structural relaxation (PBE).

Properties
Size of the total moment = 0.000 μB/atom
SG = P-1
Density = 7.73 g/cm3
Crystal system = triclinic

a = 3.6714 Å, b = 8.9360 Å, c = 13.1043 Å
α = 132.56°, β = 81.90°, γ = 90.08°
Atoms (fractional coordinates):
Ac: 0.0000 0.0000 0.0000
Tb: 0.4432 0.7726 0.1126
Tb: 0.5568 0.2274 0.8874
Sm: 0.8883 0.5593 0.2235
Sm: 0.1117 0.4407 0.7765
Sm: 0.6695 0.6603 0.6608
Sm: 0.7784 0.1068 0.4430
Sm: 0.2216 0.8932 0.5570
Sm: 0.3305 0.3397 0.3392


<B>
Entry from Alexandria: AcTb2Sm6 after structural relaxation (PBE).

Properties
Size of the total moment = 0.002 μB/atom
SG = P-6m2
Density = 7.62 g/cm3
Crystal system = hexagonal

a = 3.6661 Å, b = 3.6661 Å, c = 27.0882 Å
α = 90.00°, β = 90.00°, γ = 120.00°
Atoms (fractional coordinates):
Ac: 0.3333 0.6667 0.0000
Tb: 0.6667 0.3333 0.3321
Tb: 0.6667 0.3333 0.6679
Sm: 0.6667 0.3333 0.8828
Sm: 0.3333 0.6667 0.4352
Sm: 0.3333 0.6667 0.7761
Sm: 0.3333 0.6667 0.2239
Sm: 0.3333 0.6667 0.5648
Sm: 0.6667 0.3333 0.1172


We find <A> to be the most stable, with the next structure 43 meV per atom higher.